Computed, not measured: InAs2Se after structural relaxation at the PBE-GGA level of DFT.

a b c (Å): 7.552 7.552 7.552
angles (deg): 30.18 30.18 30.18
Atoms (fractional coordinates):
As  0.260  0.260  0.260
As  0.987  0.987  0.987
In  0.494  0.494  0.494
Se  0.758  0.758  0.758

Results
space-group type: R3m, No. 160
energy: -16.07 eV for the cell shown